[1]
# MoOs4Ru2Rh | Alexandria | PBE-GGA | relaxed
data_MoOs4Ru2Rh
_chemical_formula_sum 'Mo2 Os8 Ru4 Rh2'
_cell_length_a 7.233
_cell_length_b 7.233
_cell_length_c 5.455
_cell_angle_alpha 112.20
_cell_angle_beta 112.20
_cell_angle_gamma 98.19
_space_group_name_H-M_alt 'P 1'
_space_group_IT_number 1
loop_
_space_group_symop_operation_xyz
'x,y,z'
loop_
_atom_site_label
_atom_site_fract_x
_atom_site_fract_y
_atom_site_fract_z
_atom_site_occupancy
Ru1 0.438 0.062 0.503 1
Ru2 0.064 0.941 0.503 1
Ru3 0.559 0.436 0.997 1
Ru4 0.438 0.062 0.997 1
Os1 0.684 0.816 0.004 1
Os2 0.318 0.687 0.003 1
Os3 0.813 0.182 0.497 1
Os4 0.684 0.816 0.496 1
Os5 0.814 0.181 0.998 1
Os6 0.185 0.315 0.998 1
Os7 0.185 0.315 0.502 1
Os8 0.319 0.686 0.502 1
Mo1 0.065 0.940 0.003 1
Mo2 0.560 0.435 0.497 1
Rh1 0.937 0.563 0.999 1
Rh2 0.937 0.563 0.501 1
# Symmetry: Imm2 (44)
# Energy relative to the elements (eV per atom): 0.06

[2]
# Hf6AlBi | Alexandria | PBE-GGA | relaxed
data_Hf6AlBi
_chemical_formula_sum 'Hf6 Al1 Bi1'
_cell_length_a 6.379
_cell_length_b 6.379
_cell_length_c 6.370
_cell_angle_alpha 105.17
_cell_angle_beta 105.17
_cell_angle_gamma 121.43
_space_group_name_H-M_alt 'P 1'
_space_group_IT_number 1
loop_
_space_group_symop_operation_xyz
'x,y,z'
loop_
_atom_site_label
_atom_site_fract_x
_atom_site_fract_y
_atom_site_fract_z
_atom_site_occupancy
Hf1 0.520 0.978 0.737 1
Hf2 0.480 0.022 0.263 1
Hf3 0.747 0.747 0.256 1
Hf4 0.022 0.480 0.263 1
Hf5 0.978 0.520 0.737 1
Hf6 0.253 0.253 0.744 1
Al1 0.500 0.500 0.500 1
Bi1 0.000 0.000 0.000 1
# Symmetry: C2/m (12)
# Energy relative to the elements (eV per atom): 0.31

[3]
# NaCdIn2Hg5 | Alexandria | PBE-GGA | relaxed
data_NaCdIn2Hg5
_chemical_formula_sum 'Na2 Cd2 In4 Hg10'
_cell_length_a 3.535
_cell_length_b 8.868
_cell_length_c 15.529
_cell_angle_alpha 90.00
_cell_angle_beta 90.00
_cell_angle_gamma 101.50
_space_group_name_H-M_alt 'P 1'
_space_group_IT_number 1
loop_
_space_group_symop_operation_xyz
'x,y,z'
loop_
_atom_site_label
_atom_site_fract_x
_atom_site_fract_y
_atom_site_fract_z
_atom_site_occupancy
Hg1 0.454 0.908 0.253 1
Hg2 0.272 0.544 0.342 1
Hg3 0.728 0.456 0.842 1
Hg4 0.387 0.774 0.999 1
Hg5 0.019 0.038 0.098 1
Hg6 0.344 0.688 0.678 1
Hg7 0.546 0.092 0.753 1
Hg8 0.613 0.226 0.499 1
Hg9 0.981 0.962 0.598 1
Hg10 0.656 0.312 0.178 1
Na1 0.568 0.135 0.944 1
Na2 0.432 0.865 0.444 1
In1 0.091 0.182 0.332 1
In2 0.828 0.655 0.163 1
In3 0.172 0.345 0.663 1
In4 0.909 0.818 0.832 1
Cd1 0.215 0.430 0.016 1
Cd2 0.785 0.570 0.516 1
# Symmetry: Cmc2_1 (36)
# Energy relative to the elements (eV per atom): -0.04

[4]
# Cr2ReW | Alexandria | PBE-GGA | relaxed
data_Cr2ReW
_chemical_formula_sum 'Cr2 Re1 W1'
_cell_length_a 2.646
_cell_length_b 2.646
_cell_length_c 8.413
_cell_angle_alpha 90.00
_cell_angle_beta 90.00
_cell_angle_gamma 110.00
_space_group_name_H-M_alt 'P 1'
_space_group_IT_number 1
loop_
_space_group_symop_operation_xyz
'x,y,z'
loop_
_atom_site_label
_atom_site_fract_x
_atom_site_fract_y
_atom_site_fract_z
_atom_site_occupancy
Cr1 0.000 0.000 0.497 1
Cr2 0.000 0.000 0.003 1
Re1 0.500 0.500 0.250 1
W1 0.500 0.500 0.750 1
# Symmetry: Cmmm (65)
# Energy relative to the elements (eV per atom): 0.10

[5]
# LiAuBr6 | Alexandria | PBE-GGA | relaxed
data_LiAuBr6
_chemical_formula_sum 'Li1 Au1 Br6'
_cell_length_a 7.307
_cell_length_b 7.306
_cell_length_c 6.729
_cell_angle_alpha 57.11
_cell_angle_beta 57.10
_cell_angle_gamma 59.99
_space_group_name_H-M_alt 'P 1'
_space_group_IT_number 1
loop_
_space_group_symop_operation_xyz
'x,y,z'
loop_
_atom_site_label
_atom_site_fract_x
_atom_site_fract_y
_atom_site_fract_z
_atom_site_occupancy
Br1 0.123 0.368 0.723 1
Br2 0.214 0.877 0.277 1
Br3 0.786 0.123 0.723 1
Br4 0.877 0.632 0.277 1
Br5 0.368 0.786 0.723 1
Br6 0.632 0.214 0.277 1
Au1 0.000 0.000 0.000 1
Li1 0.500 0.500 0.500 1
# Symmetry: R-3 (148)

[6]
# VNi3Pt2 | Alexandria | PBE-GGA | relaxed
data_VNi3Pt2
_chemical_formula_sum 'V2 Ni6 Pt4'
_cell_length_a 2.650
_cell_length_b 9.015
_cell_length_c 7.537
_cell_angle_alpha 90.00
_cell_angle_beta 90.00
_cell_angle_gamma 90.00
_space_group_name_H-M_alt 'P 1'
_space_group_IT_number 1
loop_
_space_group_symop_operation_xyz
'x,y,z'
loop_
_atom_site_label
_atom_site_fract_x
_atom_site_fract_y
_atom_site_fract_z
_atom_site_occupancy
V1 0.000 0.000 0.500 1
V2 0.500 0.500 0.000 1
Ni1 0.500 0.086 0.244 1
Ni2 0.000 0.586 0.256 1
Ni3 0.500 0.500 0.500 1
Ni4 0.000 0.414 0.744 1
Ni5 0.500 0.914 0.756 1
Ni6 0.000 0.000 0.000 1
Pt1 0.500 0.230 0.927 1
Pt2 0.000 0.730 0.573 1
Pt3 0.500 0.770 0.073 1
Pt4 0.000 0.270 0.427 1
# Symmetry: Pnnm (58)
# Energy relative to the elements (eV per atom): 0.19

[7]
# PmTm2ThSe4 | Alexandria | PBE-GGA | relaxed
data_PmTm2ThSe4
_chemical_formula_sum 'Pm1 Tm2 Th1 Se4'
_cell_length_a 4.030
_cell_length_b 7.316
_cell_length_c 7.023
_cell_angle_alpha 71.48
_cell_angle_beta 90.00
_cell_angle_gamma 90.00
_space_group_name_H-M_alt 'P 1'
_space_group_IT_number 1
loop_
_space_group_symop_operation_xyz
'x,y,z'
loop_
_atom_site_label
_atom_site_fract_x
_atom_site_fract_y
_atom_site_fract_z
_atom_site_occupancy
Pm1 0.500 0.500 0.000 1
Se1 0.500 0.770 0.242 1
Se2 0.000 0.231 0.255 1
Se3 0.000 0.769 0.745 1
Se4 0.500 0.230 0.758 1
Th1 0.000 0.500 0.500 1
Tm1 0.000 0.000 0.000 1
Tm2 0.500 0.000 0.500 1
# Symmetry: P2/m (10)

[8]
# La3TlRu | Alexandria | PBE-GGA | relaxed
data_La3TlRu
_chemical_formula_sum 'La6 Tl2 Ru2'
_cell_length_a 8.620
_cell_length_b 5.994
_cell_length_c 5.995
_cell_angle_alpha 81.20
_cell_angle_beta 90.12
_cell_angle_gamma 89.88
_space_group_name_H-M_alt 'P 1'
_space_group_IT_number 1
loop_
_space_group_symop_operation_xyz
'x,y,z'
loop_
_atom_site_label
_atom_site_fract_x
_atom_site_fract_y
_atom_site_fract_z
_atom_site_occupancy
Ru1 0.402 0.369 0.892 1
Ru2 0.405 0.761 0.501 1
La1 0.709 0.802 0.460 1
La2 0.098 0.328 0.933 1
La3 0.100 0.801 0.461 1
La4 0.404 0.287 0.418 1
La5 0.708 0.329 0.932 1
La6 0.404 0.843 0.975 1
Tl1 0.904 0.824 0.957 1
Tl2 0.904 0.306 0.436 1
# Symmetry: C2/m (12)
# Energy relative to the elements (eV per atom): -0.36

Computed calculated total energy, in the same sequence as the records: -162.39; -64.87; -19.19; -44.23; -17.25; -74.76; -48.41; -56.41 eV per cell.